(1)
The following is a DFT calculation (PBE) of crystalline BaCdRe2 at its relaxed geometry.

```
data_BaCdRe2
_chemical_formula_sum 'Ba1 Cd1 Re2'
_space_group_name_H-M_alt 'P 1 2/m 1'
_space_group_IT_number 10
_cell_length_a 3.571
_cell_length_b 5.144
_cell_length_c 6.131
_cell_angle_alpha 90.00
_cell_angle_beta 99.10
_cell_angle_gamma 90.00
loop_
_space_group_symop_operation_xyz
'x,y,z'
'-x,-y,-z'
'-x,y,-z'
'x,-y,z'
loop_
_atom_site_label
_atom_site_type_symbol
_atom_site_fract_x
_atom_site_fract_y
_atom_site_fract_z
Ba1 Ba 0.000 0.000 0.000
Cd1 Cd 0.500 0.000 0.500
Re1 Re 0.286 0.500 0.626
```

- Crystal system: monoclinic
- E_form: 0.880 eV per atom
- DOS(E_F): 4.506 states/eV per cell
- Total energy: -6.0530 eV per atom

(2)
The following is a DFT calculation (PBE) of crystalline PmGa3Pd2 at its relaxed geometry.

```
data_PmGa3Pd2
_chemical_formula_sum 'Pm4 Ga12 Pd8'
_space_group_name_H-M_alt 'I m m m'
_space_group_IT_number 71
_space_group_name_Hall '-I 2 2'
_cell_length_a 4.356
_cell_length_b 7.580
_cell_length_c 13.810
_cell_angle_alpha 90.00
_cell_angle_beta 90.00
_cell_angle_gamma 90.00
loop_
_atom_site_label
_atom_site_type_symbol
_atom_site_fract_x
_atom_site_fract_y
_atom_site_fract_z
Pm1 Pm 0.000 0.000 0.133
Ga1 Ga 0.000 0.202 0.326
Ga2 Ga 0.000 0.339 0.000
Pd1 Pd 0.000 0.319 0.500
Pd2 Pd 0.000 0.500 0.190
```

- Crystal system: orthorhombic
- E_form: -0.668 eV per atom
- DOS(E_F): 7.179 states/eV per cell
- Total energy: -4.7041 eV per atom
- Relative energy among the computed polymorphs: 48 meV per atom

(3)
The following is a DFT calculation (PBE) of crystalline YHf2Co2 at its relaxed geometry.

```
data_YHf2Co2
_chemical_formula_sum 'Y2 Hf4 Co4'
_space_group_name_H-M_alt 'P 4/m b m'
_space_group_IT_number 127
_space_group_name_Hall '-P 4 2ab'
_cell_length_a 7.790
_cell_length_b 7.790
_cell_length_c 2.963
_cell_angle_alpha 90.00
_cell_angle_beta 90.00
_cell_angle_gamma 90.00
loop_
_atom_site_label
_atom_site_type_symbol
_atom_site_fract_x
_atom_site_fract_y
_atom_site_fract_z
Y1 Y 0.000 0.000 0.000
Hf1 Hf 0.143 0.357 0.000
Co1 Co 0.148 0.648 0.500
```

- Crystal system: tetragonal
- E_form: -0.069 eV per atom
- DOS(E_F): 6.769 states/eV per cell
- Total energy: -8.1860 eV per atom
- Relative energy among the computed polymorphs: 197 meV per atom

(4)
The following is a DFT calculation (PBE) of crystalline Hf2AlRh at its relaxed geometry.

```
data_Hf2AlRh
_chemical_formula_sum 'Hf8 Al4 Rh4'
_space_group_name_H-M_alt 'I -4 2 d'
_space_group_IT_number 122
_space_group_name_Hall 'I -4 2bw'
_cell_length_a 7.499
_cell_length_b 7.499
_cell_length_c 5.699
_cell_angle_alpha 90.00
_cell_angle_beta 90.00
_cell_angle_gamma 90.00
loop_
_atom_site_label
_atom_site_type_symbol
_atom_site_fract_x
_atom_site_fract_y
_atom_site_fract_z
Hf1 Hf 0.210 0.250 0.125
Al1 Al 0.000 0.000 0.500
Rh1 Rh 0.000 0.000 0.000
```

- Crystal system: tetragonal
- E_form: -0.114 eV per atom
- DOS(E_F): 12.088 states/eV per cell
- Total energy: -7.8647 eV per atom

(5)
The following is a DFT calculation (PBE) of crystalline Pr5Te5N at its relaxed geometry.

```
data_Pr5Te5N
_chemical_formula_sum 'Pr10 Te10 N2'
_space_group_name_H-M_alt 'C 1 2/m 1'
_space_group_IT_number 12
_cell_length_a 13.800
_cell_length_b 6.262
_cell_length_c 8.696
_cell_angle_alpha 90.00
_cell_angle_beta 109.48
_cell_angle_gamma 90.00
loop_
_space_group_symop_operation_xyz
'x,y,z'
'-x,-y,-z'
'-x,y,-z'
'x,-y,z'
'x+1/2,y+1/2,z'
'-x+1/2,-y+1/2,-z'
'-x+1/2,y+1/2,-z'
'x+1/2,-y+1/2,z'
loop_
_atom_site_label
_atom_site_type_symbol
_atom_site_fract_x
_atom_site_fract_y
_atom_site_fract_z
Pr1 Pr 0.000 0.000 0.000
Pr2 Pr 0.139 0.500 0.282
Pr3 Pr 0.149 0.500 0.858
Te1 Te 0.000 0.500 0.500
Te2 Te 0.157 0.000 0.809
Te3 Te 0.178 0.000 0.338
N1 N 0.000 0.500 0.000
```

- Crystal system: monoclinic
- DOS(E_F): 9.716 states/eV per cell
- Formation energy (no corrections): -1.312 eV/atom
- Total energy: -5.6695 eV per atom

(6)
The following is a DFT calculation (PBE) of crystalline Ba3SmHg2O6 at its relaxed geometry.

```
data_Ba3SmHg2O6
_chemical_formula_sum 'Ba3 Sm1 Hg2 O6'
_space_group_name_H-M_alt 'P -3 m 1'
_space_group_IT_number 164
_space_group_name_Hall '-P 3 2"'
_cell_length_a 6.4072
_cell_length_b 6.4072
_cell_length_c 7.0322
_cell_angle_alpha 90.00
_cell_angle_beta 90.00
_cell_angle_gamma 120.00
loop_
_atom_site_label
_atom_site_type_symbol
_atom_site_fract_x
_atom_site_fract_y
_atom_site_fract_z
Ba1 Ba 0.0000 0.0000 0.0000
Ba2 Ba 0.3333 0.6667 0.6095
Sm1 Sm 0.0000 0.0000 0.5000
Hg1 Hg 0.3333 0.6667 0.1254
O1 O 0.1653 0.3305 0.3071
```

- Crystal system: trigonal
- DOS(E_F): 4.529 states/eV per cell
- Formation energy (no corrections): -1.860 eV/atom
- Total energy: -5.2630 eV per atom

(7)
The following is a DFT calculation (PBE) of crystalline KMo4Pt at its relaxed geometry.

```
data_KMo4Pt
_chemical_formula_sum 'K4 Mo16 Pt4'
_space_group_name_H-M_alt 'F -4 3 m'
_space_group_IT_number 216
_space_group_name_Hall 'F -4 2 3'
_cell_length_a 7.584
_cell_length_b 7.584
_cell_length_c 7.584
_cell_angle_alpha 90.00
_cell_angle_beta 90.00
_cell_angle_gamma 90.00
loop_
_atom_site_label
_atom_site_type_symbol
_atom_site_fract_x
_atom_site_fract_y
_atom_site_fract_z
K1 K 0.000 0.000 0.000
Mo1 Mo 0.127 0.127 0.627
Pt1 Pt 0.250 0.250 0.250
```

- Crystal system: cubic
- E_form: 0.878 eV per atom
- DOS(E_F): 20.278 states/eV per cell
- Total energy: -7.5326 eV per atom

(8)
The following is a DFT calculation (PBE) of crystalline ScGaAs2O8 at its relaxed geometry.

```
data_ScGaAs2O8
_chemical_formula_sum 'Sc2 Ga2 As4 O16'
_space_group_name_H-M_alt 'I -4 m 2'
_space_group_IT_number 119
_space_group_name_Hall 'I -4 -2'
_cell_length_a 6.685
_cell_length_b 6.685
_cell_length_c 6.189
_cell_angle_alpha 90.00
_cell_angle_beta 90.00
_cell_angle_gamma 90.00
loop_
_atom_site_label
_atom_site_type_symbol
_atom_site_fract_x
_atom_site_fract_y
_atom_site_fract_z
Sc1 Sc 0.000 0.000 0.000
Ga1 Ga 0.000 0.500 0.750
As1 As 0.000 0.000 0.500
As2 As 0.000 0.500 0.250
O1 O 0.000 0.191 0.689
O2 O 0.000 0.313 0.061
```

- Crystal system: tetragonal
- DOS(E_F): 0.000 states/eV per cell
- Formation energy (no corrections): -1.724 eV/atom
- Total energy: -6.5842 eV per atom

Number 1: calculated volume 27.80 Å³/atom. Number 2: calculated volume 19.00 Å³/atom. Number 3: calculated volume 17.99 Å³/atom. Number 4: calculated volume 20.03 Å³/atom. Number 5: calculated volume 32.20 Å³/atom. Number 6: calculated volume 20.83 Å³/atom. Number 7: calculated volume 18.17 Å³/atom. Number 8: calculated volume 11.52 Å³/atom.